1.
Here is a geometry-optimized ZrCo2BRh structure from Alexandria. Energies are from PBE-GGA.

a = 3.924 Å, b = 3.924 Å, c = 4.085 Å
α = 90.00°, β = 90.00°, γ = 90.00°
Space group P4/mmm (No. 123)
One atom of each set of equivalent atoms:
Zr (0.000, 0.000, 0.000) [1 per cell]
Co (0.000, 0.500, 0.500) [2 per cell]
B (0.500, 0.500, 0.500) [1 per cell]
Rh (0.500, 0.500, 0.000) [1 per cell]

Properties
Formation energy from the elements = -0.4872 eV per atom
Relative energy among the computed polymorphs = 0 meV per atom
Electronic total energy = -7.84 eV/atom
N(E_F) = 1.61 states/eV/f.u.
V = 62.92 Å³/f.u.



2.
Here is a geometry-optimized CoBRu2 structure from Alexandria. Energies are from PBE-GGA.

a = 2.8070 Å, b = 2.8070 Å, c = 20.7127 Å
α = 90.00°, β = 90.00°, γ = 120.00°
Space group R3m (No. 160, hexagonal axes)
One atom of each set of equivalent atoms:
Co (0.0000, 0.0000, 0.0000) [3 per cell]
B (0.0000, 0.0000, 0.1644) [3 per cell]
Ru (0.0000, 0.0000, 0.5655) [3 per cell]
Ru (0.0000, 0.0000, 0.7643) [3 per cell]

Properties
Formation energy from the elements = 0.1092 eV per atom
Electronic total energy = -7.97 eV/atom
N(E_F) = 3.90 states/eV/f.u.
V = 47.11 Å³/f.u.



3.
Here is a geometry-optimized Co2B2Ru structure from Alexandria. Energies are from PBE-GGA.

a = 5.994 Å, b = 5.994 Å, c = 2.528 Å
α = 90.00°, β = 90.00°, γ = 90.00°
Space group P4/mbm (No. 127)
One atom of each set of equivalent atoms:
Co (0.152, 0.348, 0.000) [4 per cell]
B (0.142, 0.642, 0.500) [4 per cell]
Ru (0.000, 0.000, 0.500) [2 per cell]

Properties
Formation energy from the elements = -0.0868 eV per atom
Electronic total energy = -7.46 eV/atom
N(E_F) = 5.26 states/eV/f.u.
V = 45.42 Å³/f.u.



4.
Here is a geometry-optimized CoB3Ru structure from Alexandria. Energies are from PBE-GGA.

a = 3.672 Å, b = 3.672 Å, c = 3.672 Å
α = 90.00°, β = 90.00°, γ = 90.00°
Space group Pm-3m (No. 221)
One atom of each set of equivalent atoms:
Co (0.000, 0.000, 0.000) [1 per cell]
B (0.000, 0.000, 0.500) [3 per cell]
Ru (0.500, 0.500, 0.500) [1 per cell]

Properties
Formation energy from the elements = 0.9210 eV per atom
Relative energy among the computed polymorphs = 0 meV per atom
Electronic total energy = -6.36 eV/atom
N(E_F) = 1.71 states/eV/f.u.
V = 49.52 Å³/f.u.



5.
Here is a geometry-optimized CoB3Ru structure from Alexandria. Energies are from PBE-GGA.

a = 3.978 Å, b = 3.978 Å, c = 3.978 Å
α = 90.00°, β = 90.00°, γ = 90.00°
Space group Pm-3m (No. 221)
One atom of each set of equivalent atoms:
Co (0.000, 0.000, 0.000) [1 per cell]
B (0.000, 0.500, 0.500) [3 per cell]
Ru (0.500, 0.500, 0.500) [1 per cell]

Properties
Formation energy from the elements = 1.2674 eV per atom
Relative energy among the computed polymorphs = 346 meV per atom
Electronic total energy = -6.02 eV/atom
N(E_F) = 5.88 states/eV/f.u.
V = 62.97 Å³/f.u.



6.
Here is a geometry-optimized CoBRu2 structure from Alexandria. Energies are from PBE-GGA.

a = 5.063 Å, b = 5.063 Å, c = 9.248 Å
α = 90.00°, β = 90.00°, γ = 90.00°
Space group I-42d (No. 122)
One atom of each set of equivalent atoms:
Co (0.000, 0.000, 0.000) [4 per cell]
B (0.000, 0.000, 0.500) [4 per cell]
Ru (0.209, 0.250, 0.625) [8 per cell]

Properties
Formation energy from the elements = 0.8387 eV per atom
Electronic total energy = -7.25 eV/atom
N(E_F) = 5.09 states/eV/f.u.
V = 59.26 Å³/f.u.



7.
Here is a geometry-optimized CoB2Ru2 structure from Alexandria. Energies are from PBE-GGA.

a = 5.340 Å, b = 5.340 Å, c = 3.433 Å
α = 90.00°, β = 90.00°, γ = 90.00°
Space group P4/mbm (No. 127)
One atom of each set of equivalent atoms:
Co (0.000, 0.000, 0.000) [2 per cell]
B (0.123, 0.377, 0.000) [4 per cell]
Ru (0.179, 0.679, 0.500) [4 per cell]

Properties
Formation energy from the elements = -0.2156 eV per atom
Electronic total energy = -8.02 eV/atom
N(E_F) = 2.88 states/eV/f.u.
V = 48.94 Å³/f.u.



8.
Here is a geometry-optimized Co2BRu structure from Alexandria. Energies are from PBE-GGA.

a = 3.196 Å, b = 3.196 Å, c = 17.551 Å
α = 90.00°, β = 90.00°, γ = 90.00°
Space group I-42d (No. 122)
One atom of each set of equivalent atoms:
Co (0.228, 0.250, 0.125) [8 per cell]
B (0.000, 0.000, 0.000) [4 per cell]
Ru (0.000, 0.000, 0.500) [4 per cell]

Properties
Formation energy from the elements = 0.4886 eV per atom
Electronic total energy = -7.05 eV/atom
N(E_F) = 4.23 states/eV/f.u.
V = 44.81 Å³/f.u.



9.
Here is a geometry-optimized Sc2CoB2Ru5 structure from Alexandria. Energies are from PBE-GGA.

a = 9.324 Å, b = 9.324 Å, c = 3.006 Å
α = 90.00°, β = 90.00°, γ = 90.00°
Space group P4/mbm (No. 127)
One atom of each set of equivalent atoms:
Sc (0.175, 0.325, 0.000) [4 per cell]
Co (0.000, 0.000, 0.000) [2 per cell]
B (0.125, 0.625, 0.000) [4 per cell]
Ru (0.000, 0.500, 0.500) [2 per cell]
Ru (0.071, 0.788, 0.500) [8 per cell]

Properties
Formation energy from the elements = -0.4313 eV per atom
Electronic total energy = -8.38 eV/atom
N(E_F) = 9.83 states/eV/f.u.
V = 130.66 Å³/f.u.



10.
Here is a geometry-optimized Co2SnBRu structure from Alexandria. Energies are from PBE-GGA.

a = 3.920 Å, b = 3.920 Å, c = 4.083 Å
α = 90.00°, β = 90.00°, γ = 90.00°
Space group P4/mmm (No. 123)
One atom of each set of equivalent atoms:
Co (0.000, 0.500, 0.000) [2 per cell]
Sn (0.000, 0.000, 0.500) [1 per cell]
B (0.500, 0.500, 0.000) [1 per cell]
Ru (0.500, 0.500, 0.500) [1 per cell]

Properties
Formation energy from the elements = -0.1190 eV per atom
Electronic total energy = -6.95 eV/atom
N(E_F) = 2.33 states/eV/f.u.
V = 62.75 Å³/f.u.



11.
Here is a geometry-optimized TaCo2BRu structure from Alexandria. Energies are from PBE-GGA.

a = 3.847 Å, b = 3.847 Å, c = 4.042 Å
α = 90.00°, β = 90.00°, γ = 90.00°
Space group P4/mmm (No. 123)
One atom of each set of equivalent atoms:
Ta (0.000, 0.000, 0.000) [1 per cell]
Co (0.000, 0.500, 0.500) [2 per cell]
B (0.500, 0.500, 0.500) [1 per cell]
Ru (0.500, 0.500, 0.000) [1 per cell]

Properties
Formation energy from the elements = -0.2366 eV per atom
Electronic total energy = -8.64 eV/atom
N(E_F) = 1.33 states/eV/f.u.
V = 59.83 Å³/f.u.



12.
Here is a geometry-optimized Ta2CoB2Ru5 structure from Alexandria. Energies are from PBE-GGA.

a = 9.277 Å, b = 9.277 Å, c = 2.983 Å
α = 90.00°, β = 90.00°, γ = 90.00°
Space group P4/mbm (No. 127)
One atom of each set of equivalent atoms:
Ta (0.177, 0.323, 0.000) [4 per cell]
Co (0.000, 0.000, 0.000) [2 per cell]
B (0.125, 0.625, 0.000) [4 per cell]
Ru (0.000, 0.500, 0.500) [2 per cell]
Ru (0.071, 0.786, 0.500) [8 per cell]

Properties
Formation energy from the elements = -0.3703 eV per atom
Electronic total energy = -9.42 eV/atom
N(E_F) = 7.77 states/eV/f.u.
V = 128.34 Å³/f.u.



13.
Here is a geometry-optimized TbCoB2Ru structure from Alexandria. Energies are from PBE-GGA.

a = 3.762 Å, b = 3.762 Å, c = 9.451 Å
α = 90.00°, β = 90.00°, γ = 90.00°
Space group I-4m2 (No. 119)
One atom of each set of equivalent atoms:
Tb (0.000, 0.000, 0.000) [2 per cell]
Co (0.000, 0.500, 0.250) [2 per cell]
B (0.000, 0.000, 0.340) [4 per cell]
Ru (0.000, 0.500, 0.750) [2 per cell]

Properties
Formation energy from the elements = -0.5217 eV per atom
Electronic total energy = -7.40 eV/atom
N(E_F) = 1.17 states/eV/f.u.
V = 66.89 Å³/f.u.



14.
Here is a geometry-optimized CoTc2BRu structure from Alexandria. Energies are from PBE-GGA.

a = 4.061 Å, b = 4.061 Å, c = 3.816 Å
α = 90.00°, β = 90.00°, γ = 90.00°
Space group P4/mmm (No. 123)
One atom of each set of equivalent atoms:
Co (0.000, 0.000, 0.000) [1 per cell]
Tc (0.000, 0.500, 0.500) [2 per cell]
B (0.000, 0.000, 0.500) [1 per cell]
Ru (0.500, 0.500, 0.000) [1 per cell]

Properties
Formation energy from the elements = 0.2365 eV per atom
Electronic total energy = -8.52 eV/atom
N(E_F) = 6.57 states/eV/f.u.
V = 62.92 Å³/f.u.



15.
Here is a geometry-optimized ThCoBRu2 structure from Alexandria. Energies are from PBE-GGA.

a = 4.261 Å, b = 4.261 Å, c = 4.066 Å
α = 90.00°, β = 90.00°, γ = 90.00°
Space group P4/mmm (No. 123)
One atom of each set of equivalent atoms:
Th (0.000, 0.000, 0.000) [1 per cell]
Co (0.500, 0.500, 0.000) [1 per cell]
B (0.500, 0.500, 0.500) [1 per cell]
Ru (0.000, 0.500, 0.500) [2 per cell]

Properties
Formation energy from the elements = -0.4545 eV per atom
Electronic total energy = -8.41 eV/atom
N(E_F) = 2.86 states/eV/f.u.
V = 73.82 Å³/f.u.



16.
Here is a geometry-optimized ThCoB2Ru structure from Alexandria. Energies are from PBE-GGA.

a = 3.783 Å, b = 3.783 Å, c = 9.674 Å
α = 90.00°, β = 90.00°, γ = 90.00°
Space group I-4m2 (No. 119)
One atom of each set of equivalent atoms:
Th (0.000, 0.000, 0.000) [2 per cell]
Co (0.000, 0.500, 0.750) [2 per cell]
B (0.000, 0.000, 0.345) [4 per cell]
Ru (0.000, 0.500, 0.250) [2 per cell]

Properties
Formation energy from the elements = -0.5151 eV per atom
Electronic total energy = -7.95 eV/atom
N(E_F) = 2.08 states/eV/f.u.
V = 69.24 Å³/f.u.



17.
Here is a geometry-optimized TiCo2BRu structure from Alexandria. Energies are from PBE-GGA.

a = 3.812 Å, b = 3.812 Å, c = 4.042 Å
α = 90.00°, β = 90.00°, γ = 90.00°
Space group P4/mmm (No. 123)
One atom of each set of equivalent atoms:
Ti (0.000, 0.000, 0.000) [1 per cell]
Co (0.000, 0.500, 0.500) [2 per cell]
B (0.500, 0.500, 0.500) [1 per cell]
Ru (0.500, 0.500, 0.000) [1 per cell]

Properties
Formation energy from the elements = -0.3395 eV per atom
Electronic total energy = -7.95 eV/atom
N(E_F) = 1.58 states/eV/f.u.
V = 58.75 Å³/f.u.



18.
Here is a geometry-optimized TiCoBRu2 structure from Alexandria. Energies are from PBE-GGA.

a = 4.067 Å, b = 4.067 Å, c = 3.789 Å
α = 90.00°, β = 90.00°, γ = 90.00°
Space group P4/mmm (No. 123)
One atom of each set of equivalent atoms:
Ti (0.000, 0.000, 0.000) [1 per cell]
Co (0.500, 0.500, 0.000) [1 per cell]
B (0.500, 0.500, 0.500) [1 per cell]
Ru (0.000, 0.500, 0.500) [2 per cell]

Properties
Formation energy from the elements = -0.3463 eV per atom
Relative energy among the computed polymorphs = 0 meV per atom
Electronic total energy = -8.39 eV/atom
N(E_F) = 1.91 states/eV/f.u.
V = 62.66 Å³/f.u.



19.
Here is a geometry-optimized TiCoBRu2 structure from Alexandria. Energies are from PBE-GGA.

a = 4.451 Å, b = 4.451 Å, c = 4.058 Å
α = 90.00°, β = 90.00°, γ = 90.00°
Space group P4/mmm (No. 123)
One atom of each set of equivalent atoms:
Ti (0.000, 0.000, 0.000) [1 per cell]
Co (0.500, 0.500, 0.500) [1 per cell]
B (0.000, 0.000, 0.500) [1 per cell]
Ru (0.000, 0.500, 0.000) [2 per cell]

Properties
Formation energy from the elements = 1.6891 eV per atom
Relative energy among the computed polymorphs = 2035 meV per atom
Electronic total energy = -6.36 eV/atom
N(E_F) = 8.06 states/eV/f.u.
V = 80.40 Å³/f.u.



20.
Here is a geometry-optimized TmCoB2Ru structure from Alexandria. Energies are from PBE-GGA.

a = 3.738 Å, b = 3.738 Å, c = 9.182 Å
α = 90.00°, β = 90.00°, γ = 90.00°
Space group I-4m2 (No. 119)
One atom of each set of equivalent atoms:
Tm (0.000, 0.000, 0.000) [2 per cell]
Co (0.000, 0.500, 0.250) [2 per cell]
B (0.000, 0.000, 0.348) [4 per cell]
Ru (0.000, 0.500, 0.750) [2 per cell]

Properties
Formation energy from the elements = -0.5343 eV per atom
Electronic total energy = -7.38 eV/atom
N(E_F) = 1.47 states/eV/f.u.
V = 64.13 Å³/f.u.